1.
The following is a DFT calculation (PBE) of a relaxed Er2Si4Rh5 crystal.

Lattice parameters (Å, degrees): 5.589 9.466 13.938 90.00 90.00 90.00
Space group Fmmm (No. 69)
One atom of each set of equivalent atoms:
Er1 0.000 0.000 0.128 x8
Si1 0.000 0.151 0.367 x16
Rh1 0.000 0.000 0.500 x4
Rh2 0.250 0.250 0.000 x8
Rh3 0.250 0.250 0.250 x8

## Properties
Energy in eV for the cell shown: -312.6

---

2.
The following is a DFT calculation (PBE) of a relaxed Er3Si8Rh3 crystal.

Lattice parameters (Å, degrees): 14.786 4.139 8.608 90.00 119.22 90.00
Space group C2/m (No. 12)
One atom of each set of equivalent atoms:
Er1 0.000 0.000 0.000 x2
Er2 0.202 0.500 0.649 x4
Si1 0.017 0.500 0.711 x4
Si2 0.113 0.000 0.376 x4
Si3 0.136 0.000 0.841 x4
Si4 0.137 0.500 0.252 x4
Rh1 0.000 0.000 0.500 x2
Rh2 0.178 0.500 0.015 x4

## Properties
Energy above the most stable polymorph in this dataset in eV per formula unit: 0.00
Energy in eV for the cell shown: -177.8

---

Number 1: ρ 8.660 Mg/m³, N(E_F) 17.8 states/eV/cell, E_form (uncorrected) -961.5 meV per atom. Number 2: ρ 7.478 Mg/m³, N(E_F) 10.5 states/eV/cell, E_form (uncorrected) -697.9 meV per atom.